A relaxed Nb2BrO crystal. Source: the Alexandria database, functional PBE.

## Properties
Symmetry: Fm-3m
M_tot: 0.94 μB per cell
Crystal system: cubic
Uncorrected energy: -26.29 eV per formula unit
Energy above the lowest structure with this stoichiometry: 0.536 eV per atom
V: 59.0 Å³/f.u.

Unit cell a=4.3690 b=4.3690 c=4.3690 alpha=60.00 beta=60.00 gamma=60.00
With the nearest neighbours (Å) after each atom.
Sites, in units of the cell vectors:
Nb: 0.2500 0.2500 0.2500  4 Br 2.68, 4 O 2.68
Nb: 0.7500 0.7500 0.7500  4 O 2.68, 4 Br 2.68
O: 0.0000 0.0000 0.0000  8 Nb 2.68
Br: 0.5000 0.5000 0.5000  8 Nb 2.68